Tm3CrB7: relaxed, PBE.

POSCAR file:
```
Tm3CrB7
1.0
1.6996 -7.7960 0.0000
1.6996 7.7960 0.0000
0.0000 0.0000 9.2571
Tm Cr B
6 2 14
Cartesian
1.6996 6.1535 5.1766
1.6996 6.1535 8.7091
1.6996 4.0245 2.3143
1.6996 -4.0245 6.9428
1.6996 -6.1535 0.5481
1.6996 -6.1535 4.0805
1.6996 6.9733 2.3143
1.6996 -6.9733 6.9428
1.6996 3.5431 4.9305
1.6996 3.5431 8.9552
1.6996 2.0472 6.0257
1.6996 2.0472 7.8599
1.6996 0.6778 2.3143
1.6996 0.3170 5.5146
1.6996 0.3170 8.3711
1.6996 -0.3170 0.8860
1.6996 -0.3170 3.7425
1.6996 -0.6778 6.9428
1.6996 -2.0472 1.3972
1.6996 -2.0472 3.2314
1.6996 -3.5431 0.3020
1.6996 -3.5431 4.3266
```

Computed properties:
- N(E_F): 0.359 states/eV per atom
- Formation energy from the elements: -659 meV per atom